Record 1
An optimized crystal structure of LaTm2TcO8, computed with PBE.

Unit cell a=5.0233 b=6.8739 c=5.0276 alpha=90.00 beta=90.50 gamma=90.00
Last column: nearest neighbours and their distance in Å.
Element x y z (fractional)
La 0.0000 0.0000 0.0000  6 O 2.27-2.46
Tm 0.5000 0.2493 0.5000  6 O 2.15-2.39
Tm 0.5000 0.7507 0.5000  6 O 2.15-2.39
Tc 0.0000 0.5000 0.0000  6 O 1.91-1.92
O 0.1881 0.3010 0.1866  1 Tc 1.91
O 0.1881 0.6990 0.1866  1 Tc 1.91
O 0.2683 0.5000 0.7303  1 Tc 1.92
O 0.3174 0.0000 0.6806  2 Tm 2.15, 1 La 2.27
O 0.6826 0.0000 0.3194  2 Tm 2.15, 1 La 2.27
O 0.7317 0.5000 0.2697  1 Tc 1.92
O 0.8119 0.3010 0.8134  1 Tc 1.91
O 0.8119 0.6990 0.8134  1 Tc 1.91

Record 2
An optimized crystal structure of LaYTcO6, computed with PBE.

Unit cell a=5.5324 b=5.5324 c=5.0866 alpha=90.00 beta=90.00 gamma=120.00
Last column: nearest neighbours and their distance in Å.
Element x y z (fractional)
La 0.0000 0.0000 0.0000  6 O 2.45
Y 0.3333 0.6667 0.5000  6 O 2.25
Tc 0.6667 0.3333 0.5000  6 O 1.95
O 0.3779 0.0422 0.7169  1 Tc 1.95
O 0.3779 0.3357 0.2831  1 Tc 1.95
O 0.6643 0.0422 0.2831  1 Tc 1.95
O 0.6643 0.6221 0.7169  1 Tc 1.95
O 0.9578 0.3357 0.7169  1 Tc 1.95
O 0.9578 0.6221 0.2831  1 Tc 1.95

Record 3
An optimized crystal structure of LaY2TcO8, computed with PBE.

Unit cell a=5.0814 b=6.9405 c=5.0850 alpha=90.00 beta=90.22 gamma=90.00
Last column: nearest neighbours and their distance in Å.
Element x y z (fractional)
La 0.0000 0.0000 0.0000  6 O 2.27-2.48
Y 0.5000 0.2503 0.5000  6 O 2.19-2.42
Y 0.5000 0.7497 0.5000  6 O 2.19-2.42
Tc 0.0000 0.5000 0.0000  6 O 1.91-1.92
O 0.1848 0.3016 0.1834  1 Tc 1.91
O 0.1848 0.6984 0.1834  1 Tc 1.91
O 0.2652 0.5000 0.7333  1 Tc 1.92
O 0.3149 0.0000 0.6836  2 Y 2.19, 1 La 2.27
O 0.6851 0.0000 0.3164  2 Y 2.19, 1 La 2.27
O 0.7348 0.5000 0.2667  1 Tc 1.92
O 0.8152 0.3016 0.8166  1 Tc 1.91
O 0.8152 0.6984 0.8166  1 Tc 1.91

Record 4
An optimized crystal structure of La2Te4O11, computed with PBE.

Unit cell a=7.0071 b=7.0071 c=16.8016 alpha=103.24 beta=103.24 gamma=45.05
Last column: nearest neighbours and their distance in Å.
Element x y z (fractional)
La 0.1300 0.6330 0.9614  7 O 2.41-2.63
La 0.3670 0.8700 0.5386  7 O 2.41-2.63
La 0.6330 0.1300 0.4614  7 O 2.41-2.63
La 0.8700 0.3670 0.0386  7 O 2.41-2.63
Te 0.0848 0.6463 0.6256  3 O 1.90-1.92
Te 0.1068 0.6594 0.3002  3 O 1.86-2.02
Te 0.3406 0.8932 0.1998  3 O 1.86-2.02
Te 0.3537 0.9152 0.8744  3 O 1.90-1.92
Te 0.6463 0.0848 0.1256  3 O 1.90-1.92
Te 0.6594 0.1068 0.8002  3 O 1.86-2.02
Te 0.8932 0.3406 0.6998  3 O 1.86-2.02
Te 0.9152 0.3537 0.3744  3 O 1.90-1.92
O 0.0639 0.8866 0.3977  1 Te 1.91
O 0.1134 0.9361 0.1023  1 Te 1.91
O 0.1697 0.2456 0.9441  1 Te 1.90
O 0.1769 0.3166 0.6271  1 Te 1.92
O 0.2456 0.1697 0.4441  1 Te 1.90
O 0.3069 0.5450 0.5472  1 Te 1.90
O 0.3090 0.4009 0.8303  1 Te 1.86
O 0.3166 0.1769 0.1271  1 Te 1.92
O 0.3499 0.6501 0.2500  2 Te 2.02
O 0.4009 0.3090 0.3303  1 Te 1.86
O 0.4550 0.6931 0.9528  1 Te 1.90
O 0.5450 0.3069 0.0472  1 Te 1.90
O 0.5991 0.6910 0.6697  1 Te 1.86
O 0.6501 0.3499 0.7500  2 Te 2.02
O 0.6834 0.8231 0.8729  1 Te 1.92
O 0.6910 0.5991 0.1697  1 Te 1.86
O 0.6931 0.4550 0.4528  1 Te 1.90
O 0.7544 0.8303 0.5559  1 Te 1.90
O 0.8231 0.6834 0.3729  1 Te 1.92
O 0.8303 0.7544 0.0559  1 Te 1.90
O 0.8866 0.0639 0.8977  1 Te 1.91
O 0.9361 0.1134 0.6023  1 Te 1.91

Number 1: E_tot -95.821 eV per formula unit. Number 2: E_tot -74.030 eV per formula unit. Number 3: E_tot -99.278 eV per formula unit. Number 4: E_tot -108.423 eV per formula unit.